(1)
Here is a geometry-optimized SrMgSc structure from Alexandria. Energies are from PBE-GGA.

Properties
Crystal system: cubic
Total magnetic moment: 0.004 μB/atom
DFT formation energy: 11.5 kcal/mol of atoms
ρ: 2.32 g/cm³
Fermi-level density of states: 22.08 states/eV per cell

CIF file:
```
data_SrMgSc
_cell_length_a 7.654
_cell_length_b 7.654
_cell_length_c 7.654
_cell_angle_alpha 90.00
_cell_angle_beta 90.00
_cell_angle_gamma 90.00
_space_group_name_H-M_alt 'F -4 3 m'
_space_group_IT_number 216
_space_group_name_Hall 'F -4 2 3'
loop_
_atom_site_label
_atom_site_type_symbol
_atom_site_fract_x
_atom_site_fract_y
_atom_site_fract_z
Sr1 Sr 0.000 0.000 0.000
Mg1 Mg 0.250 0.250 0.750
Sc1 Sc 0.000 0.000 0.500
```


(2)
Here is a geometry-optimized Rb2SrSnTe4 structure from Alexandria. Energies are from PBE-GGA.

Properties
Crystal system: orthorhombic
Total magnetic moment: 0.000 μB/atom
E_form (uncorrected): -78.9 kJ/mol of atoms
ρ: 4.59 g/cm³
Fermi-level density of states: 15.02 states/eV per cell

CIF file:
```
data_Rb2SrSnTe4
_cell_length_a 9.210
_cell_length_b 10.176
_cell_length_c 13.709
_cell_angle_alpha 90.00
_cell_angle_beta 90.00
_cell_angle_gamma 90.00
_space_group_name_H-M_alt 'I m m a'
_space_group_IT_number 74
_space_group_name_Hall '-I 2b 2'
loop_
_atom_site_label
_atom_site_type_symbol
_atom_site_fract_x
_atom_site_fract_y
_atom_site_fract_z
Rb1 Rb 0.000 0.000 0.000
Rb2 Rb 0.250 0.250 0.250
Sr1 Sr 0.000 0.000 0.500
Sn1 Sn 0.250 0.250 0.750
Te1 Te 0.000 0.044 0.744
Te2 Te 0.234 0.250 0.529
```


Number 1: energy -2.70 eV per atom. Number 2: energy -3.34 eV per atom.